Density functional theory data (PBE-GGA) for TlCuNiTe2Se after structural relaxation.

## Properties
* M_tot: 0.012 μB/f.u.
* calculated volume: 141 Å³/f.u.
* total energy: -3.69 eV per atom

abc: 3.8345 14.0601 10.4914
angles: 90.00 90.00 90.00
With the nearest neighbours (Å) after each atom.
Space group Cmcm (No. 63)
Inequivalent atoms, fractional coordinates:
Tl: 0.0000 0.2423 0.2500 x4  2 Cu 3.03, 2 Te 3.35
Cu: 0.0000 0.4242 0.7500 x4  2 Se 2.42, 2 Te 2.58
Ni: 0.0000 0.0000 0.0000 x4  4 Te 2.57, 2 Se 2.65
Te: 0.0000 0.3790 0.5112 x8  2 Ni 2.57, 1 Cu 2.58
Se: 0.0000 0.0289 0.7500 x4  2 Cu 2.42, 2 Ni 2.65